No. 1
First-principles (PBE-GGA) data for a geometry-optimized LuAsPO structure, as listed in the Open Quantum Materials Database.

Unit cell a=5.5088 b=5.5088 c=4.6167 alpha=90.00 beta=90.00 gamma=90.00
Fractional positions:
O  0.7500  0.2500  0.0000
O  0.2500  0.7500  0.0000
P  0.7500  0.7500  0.4976
P  0.2500  0.2500  0.5024
Lu  0.7500  0.2500  0.5000
Lu  0.2500  0.7500  0.5000
As  0.7500  0.7500  0.9974
As  0.2500  0.2500  0.0026

- size of the total moment (μB/cell) = 0.0
- relative energy among the computed polymorphs (meV/atom) = 377

No. 2
First-principles (PBE-GGA) data for a geometry-optimized Tl2ReS3 structure, as listed in the Open Quantum Materials Database.

Unit cell a=6.7113 b=6.7247 c=8.5830 alpha=90.97 beta=112.21 gamma=110.76
Fractional positions:
S  0.7750  0.5263  0.5057
S  0.5097  0.8769  0.2856
S  0.4903  0.1231  0.7144
S  0.2250  0.4737  0.4943
S  0.7499  0.6964  0.9132
S  0.2501  0.3036  0.0868
Tl  0.0897  0.9065  0.3205
Tl  0.7280  0.3035  0.1105
Tl  0.2720  0.6965  0.8895
Tl  0.9103  0.0935  0.6795
Re  0.5691  0.4620  0.6676
Re  0.4309  0.5380  0.3324

- size of the total moment (μB/cell) = 0.0
- total energy (eV per atom) = -5.1626

No. 3
First-principles (PBE-GGA) data for a geometry-optimized LuAlCuMo structure, as listed in the Open Quantum Materials Database.

Unit cell a=4.6501 b=4.6501 c=4.6501 alpha=60.00 beta=60.00 gamma=60.00
Fractional positions:
Mo  0.5000  0.5000  0.5000
Lu  0.2500  0.2500  0.2500
Al  0.0000  0.0000  0.0000
Cu  0.7500  0.7500  0.7500

- size of the total moment (μB/cell) = 1.7
- relative energy among the computed polymorphs (meV/atom) = 313

No. 4
First-principles (PBE-GGA) data for a geometry-optimized Li4FeSn2Au structure, as listed in the Open Quantum Materials Database.

Unit cell a=4.4575 b=4.4575 c=6.4959 alpha=90.00 beta=90.00 gamma=90.00
Each line ends with the local moment (μB).
Fractional positions:
Fe  0.5000  0.5000  0.5000  2.48
Sn  0.5000  0.0000  0.7287  -0.04
Sn  0.0000  0.5000  0.2713  -0.03
Li  0.0000  0.0000  0.5000  -0.01
Li  0.0000  0.5000  0.7511  0.00
Li  0.5000  0.5000  0.0000  0.00
Li  0.5000  0.0000  0.2489  0.01
Au  0.0000  0.0000  0.0000  0.01

- size of the total moment (μB/cell) = 2.6
- total energy (eV per atom) = -3.7202

No. 5
First-principles (PBE-GGA) data for a geometry-optimized Er3NiSn3Pd2 structure, as listed in the Open Quantum Materials Database.

Unit cell a=7.4984 b=7.4984 c=3.8757 alpha=90.00 beta=90.00 gamma=120.00
Fractional positions:
Er  0.0000  0.4038  0.0000
Er  0.5962  0.5962  0.0000
Er  0.4038  0.0000  0.0000
Sn  0.7502  0.0000  0.5000
Sn  0.2498  0.2498  0.5000
Sn  0.0000  0.7502  0.5000
Ni  0.0000  0.0000  0.0000
Pd  0.3333  0.6667  0.5000
Pd  0.6667  0.3333  0.5000

- size of the total moment (μB/cell) = 0.0
- total energy (eV per atom) = -5.4953

No. 6
First-principles (PBE-GGA) data for a geometry-optimized KRbOs structure, as listed in the Open Quantum Materials Database.

Unit cell a=5.6557 b=5.6557 c=5.6557 alpha=60.00 beta=60.00 gamma=60.00
Fractional positions:
Rb  0.7500  0.7500  0.7500
K  0.2500  0.2500  0.2500
Os  0.0000  0.0000  0.0000

- size of the total moment (μB/cell) = 2.0
- relative energy among the computed polymorphs (meV/atom) = 0

No. 7
First-principles (PBE-GGA) data for a geometry-optimized NdHoZn2Ga2 structure, as listed in the Open Quantum Materials Database.

Unit cell a=4.4313 b=4.4313 c=7.3494 alpha=90.00 beta=90.00 gamma=120.00
Fractional positions:
Ga  0.3333  0.6667  0.7338
Ga  0.6667  0.3333  0.2662
Zn  0.6667  0.3333  0.7262
Zn  0.3333  0.6667  0.2738
Nd  0.0000  0.0000  0.0000
Ho  0.0000  0.0000  0.5000

- size of the total moment (μB/cell) = 0.1
- total energy (eV per atom) = -3.5504

No. 8
First-principles (PBE-GGA) data for a geometry-optimized HfFeGe2 structure, as listed in the Open Quantum Materials Database.

Unit cell a=10.1419 b=9.1040 c=7.9346 alpha=90.00 beta=90.00 gamma=90.00
Fractional positions:
Fe  0.5000  0.0000  0.2549
Fe  0.7454  0.4075  0.2506
Fe  0.7546  0.9075  0.2506
Fe  0.2546  0.5925  0.2506
Fe  0.7546  0.9075  0.7494
Fe  0.2454  0.0925  0.2506
Fe  0.0000  0.5000  0.2549
Fe  0.2454  0.0925  0.7494
Fe  0.7454  0.4075  0.7494
Fe  0.2546  0.5925  0.7494
Fe  0.5000  0.0000  0.7451
Fe  0.0000  0.5000  0.7451
Ge  0.1222  0.0459  0.0000
Ge  0.8795  0.9599  0.5000
Ge  0.6205  0.4599  0.5000
Ge  0.8191  0.6578  0.1567
Ge  0.8778  0.9541  0.0000
Ge  0.3795  0.5401  0.5000
Ge  0.1809  0.3422  0.8433
Ge  0.4015  0.1232  0.0000
Ge  0.8976  0.3732  0.5000
Ge  0.9015  0.3768  0.0000
Ge  0.1024  0.6268  0.5000
Ge  0.3976  0.1268  0.5000
Ge  0.3191  0.8422  0.8433
Ge  0.1205  0.0401  0.5000
Ge  0.6024  0.8732  0.5000
Ge  0.6809  0.1578  0.1567
Ge  0.5985  0.8768  0.0000
Ge  0.1809  0.3422  0.1567
Ge  0.8191  0.6578  0.8433
Ge  0.6809  0.1578  0.8433
Ge  0.3191  0.8422  0.1567
Ge  0.3778  0.5459  0.0000
Ge  0.0985  0.6232  0.0000
Ge  0.6222  0.4541  0.0000
Hf  0.5492  0.6749  0.2570
Hf  0.0492  0.8251  0.7430
Hf  0.9508  0.1749  0.7430
Hf  0.4508  0.3251  0.2570
Hf  0.5492  0.6749  0.7430
Hf  0.0492  0.8251  0.2570
Hf  0.1797  0.3351  0.5000
Hf  0.4508  0.3251  0.7430
Hf  0.8203  0.6649  0.5000
Hf  0.6797  0.1649  0.5000
Hf  0.9508  0.1749  0.2570
Hf  0.3203  0.8351  0.5000

- size of the total moment (μB/cell) = 0.1
- total energy (eV per atom) = -7.3389

No. 9
First-principles (PBE-GGA) data for a geometry-optimized Na6InHg structure, as listed in the Open Quantum Materials Database.

Unit cell a=6.8256 b=6.8256 c=5.5680 alpha=90.00 beta=90.00 gamma=120.00
Fractional positions:
Hg  0.0000  0.0000  0.0000
Na  0.8386  0.1614  0.5000
Na  0.0130  0.5065  0.0000
Na  0.3228  0.1614  0.5000
Na  0.4935  0.5065  0.0000
Na  0.8386  0.6772  0.5000
Na  0.4935  0.9870  0.0000
In  0.3333  0.6667  0.5000

- total energy (eV per atom) = -1.4659

No. 10
First-principles (PBE-GGA) data for a geometry-optimized ZrZn2Pd structure, as listed in the Open Quantum Materials Database.

Unit cell a=4.5314 b=4.5314 c=4.5314 alpha=60.00 beta=60.00 gamma=60.00
Fractional positions:
Zr  0.2500  0.2500  0.2500
Pd  0.5000  0.5000  0.5000
Zn  0.0000  0.0000  0.0000
Zn  0.7500  0.7500  0.7500

- size of the total moment (μB/cell) = 0.0
- ΔE_f (eV/atom) = -0.463

No. 11
First-principles (PBE-GGA) data for a geometry-optimized NbFeW structure, as listed in the Open Quantum Materials Database.

Unit cell a=4.1325 b=4.1325 c=4.1325 alpha=60.00 beta=60.00 gamma=60.00
Fractional positions:
Fe  0.0000  0.0000  0.0000
Nb  0.2500  0.2500  0.2500
W  0.7500  0.7500  0.7500

- size of the total moment (μB/cell) = 0.0
- relative energy among the computed polymorphs (meV/atom) = 0
- ΔE_f (eV/atom) = 0.510

No. 12
First-principles (PBE-GGA) data for a geometry-optimized NbTlFeAu structure, as listed in the Open Quantum Materials Database.

Unit cell a=4.6515 b=4.6515 c=4.6515 alpha=60.00 beta=60.00 gamma=60.00
Fractional positions:
Tl  0.0000  0.0000  0.0000
Au  0.2500  0.2500  0.2500
Fe  0.7500  0.7500  0.7500
Nb  0.5000  0.5000  0.5000

- size of the total moment (μB/cell) = 1.6
- relative energy among the computed polymorphs (meV/atom) = 0